1.
# TmBOs2

Crystalline TmBOs2 at its relaxed geometry (PBE-GGA, Alexandria).

abc: 7.3505 7.3505 7.3505
angles: 24.57 24.57 24.57
With the nearest neighbours (Å) after each atom.
Positions (direct):
Tm (0.0000, 0.0000, 0.0000)  6 Os 2.95, 6 Tm 3.13
B (0.5000, 0.5000, 0.5000)  6 Os 2.19
Os (0.2245, 0.2245, 0.2245)  3 B 2.19
Os (0.7755, 0.7755, 0.7755)  3 B 2.19

Calculated values
Magnetization   0.000 μB per formula unit
Calculated density   15.412 g cm⁻³
Raw total energy   -8.28 eV per atom

---

2.
# Tm2B4Os3

Crystalline Tm2B4Os3 at its relaxed geometry (PBE-GGA, Alexandria).

abc: 6.6131 5.5974 5.3437
angles: 74.33 54.58 51.08
With the nearest neighbours (Å) after each atom.
Positions (direct):
Tm (0.1570, 0.1570, 0.8430)  4 B 2.58-2.59
Tm (0.8430, 0.8430, 0.1570)  4 B 2.58-2.59
B (0.1185, 0.5492, 0.4508)  1 B 1.73
B (0.4508, 0.8815, 0.1185)  1 B 1.73
B (0.5492, 0.1185, 0.8815)  1 B 1.73
B (0.8815, 0.4508, 0.5492)  1 B 1.73
Os (0.0000, 0.0000, 0.5000)  4 B 2.16
Os (0.5000, 0.5000, 0.0000)  4 B 2.16
Os (0.5000, 0.5000, 0.5000)  4 B 2.52, 4 Os 2.67

Calculated values
Magnetization   1.350 μB per formula unit
Calculated density   12.742 g cm⁻³
Raw total energy   -7.74 eV per atom

---

3.
# Tm2B2Os

Crystalline Tm2B2Os at its relaxed geometry (PBE-GGA, Alexandria).

abc: 5.7732 5.7732 9.1525
angles: 118.22 118.22 37.14
With the nearest neighbours (Å) after each atom.
Positions (direct):
Tm (0.0127, 0.0127, 0.1814)  6 B 2.79-2.98, 3 Os 3.00-3.06
Tm (0.1742, 0.1742, 0.5964)  5 B 2.56-2.71
Tm (0.8258, 0.8258, 0.4036)  5 B 2.56-2.71
Tm (0.9873, 0.9873, 0.8186)  6 B 2.79-2.98, 3 Os 3.00-3.06
B (0.3360, 0.3360, 0.9316)  3 Os 2.14-2.24
B (0.4832, 0.4832, 0.3913)  1 B 1.83
B (0.5168, 0.5168, 0.6087)  1 B 1.83
B (0.6640, 0.6640, 0.0684)  3 Os 2.14-2.24
Os (0.2792, 0.2792, 0.1357)  4 B 2.14-2.29
Os (0.7208, 0.7208, 0.8643)  4 B 2.14-2.29

Calculated values
Magnetization   0.000 μB per formula unit
Calculated density   11.436 g cm⁻³
Raw total energy   -7.09 eV per atom

---

4.
# TmBOs

Crystalline TmBOs at its relaxed geometry (PBE-GGA, Alexandria).

abc: 4.9139 3.1761 5.8037
angles: 90.00 99.44 90.00
With the nearest neighbours (Å) after each atom.
Positions (direct):
Tm (0.0595, 0.2500, 0.2617)  4 B 2.64-2.75, 2 Os 2.91
Tm (0.9405, 0.7500, 0.7383)  4 B 2.64-2.75, 2 Os 2.91
B (0.4050, 0.7500, 0.5309)  2 B 1.91
B (0.5950, 0.2500, 0.4691)  2 B 1.91
Os (0.4430, 0.2500, 0.8017)  3 B 2.18-2.22
Os (0.5570, 0.7500, 0.1983)  3 B 2.18-2.22

Calculated values
Magnetization   0.000 μB per formula unit
Calculated density   13.752 g cm⁻³
Raw total energy   -7.86 eV per atom

---

5.
# TmB3Os

Crystalline TmB3Os at its relaxed geometry (PBE-GGA, Alexandria).

abc: 7.3716 7.3716 4.8494
angles: 90.00 90.00 155.05
With the nearest neighbours (Å) after each atom.
Positions (direct):
Tm (0.0905, 0.9095, 0.7500)  6 B 2.61-2.79, 4 Os 2.90
Tm (0.9095, 0.0905, 0.2500)  6 B 2.61-2.79, 4 Os 2.90
B (0.1866, 0.8134, 0.2500)  2 B 1.74
B (0.2845, 0.7155, 0.0379)  3 B 1.74-1.91
B (0.2845, 0.7155, 0.4621)  3 B 1.74-1.91
B (0.7155, 0.2845, 0.5379)  3 B 1.74-1.91
B (0.7155, 0.2845, 0.9621)  3 B 1.74-1.91
B (0.8134, 0.1866, 0.7500)  2 B 1.74
Os (0.4157, 0.5843, 0.7500)  4 B 2.17-2.35
Os (0.5843, 0.4157, 0.2500)  4 B 2.17-2.35

Calculated values
Magnetization   0.000 μB per formula unit
Calculated density   11.697 g cm⁻³
Raw total energy   -7.29 eV per atom

---

6.
# TmB2Os

Crystalline TmB2Os at its relaxed geometry (PBE-GGA, Alexandria).

abc: 3.1539 6.6450 5.0802
angles: 90.00 90.00 90.00
With the nearest neighbours (Å) after each atom.
Positions (direct):
Tm (0.2500, 0.2500, 0.1188)  8 B 2.78-3.08, 4 Os 2.92-3.06
Tm (0.7500, 0.7500, 0.8812)  8 B 2.78-3.08, 4 Os 2.92-3.06
B (0.2500, 0.0170, 0.5957)  2 B 1.87
B (0.2500, 0.4830, 0.5957)  2 B 1.87
B (0.7500, 0.5170, 0.4043)  2 B 1.87
B (0.7500, 0.9830, 0.4043)  2 B 1.87
Os (0.2500, 0.7500, 0.3640)  6 B 2.13-2.22
Os (0.7500, 0.2500, 0.6360)  6 B 2.13-2.22

Calculated values
Magnetization   0.000 μB per formula unit
Calculated density   11.878 g cm⁻³
Raw total energy   -7.68 eV per atom

---

7.
# TmB2Os

Crystalline TmB2Os at its relaxed geometry (PBE-GGA, Alexandria).

abc: 5.8488 5.2799 6.3355
angles: 90.00 90.00 90.00
With the nearest neighbours (Å) after each atom.
Positions (direct):
Tm (0.0100, 0.2500, 0.1658)  6 B 2.58-2.68
Tm (0.4900, 0.7500, 0.6658)  6 B 2.58-2.68
Tm (0.5100, 0.2500, 0.3342)  6 B 2.58-2.68
Tm (0.9900, 0.7500, 0.8342)  6 B 2.58-2.68
B (0.1390, 0.5820, 0.4620)  2 B 1.77-1.90
B (0.1390, 0.9180, 0.4620)  2 B 1.77-1.90
B (0.3610, 0.0820, 0.9620)  2 B 1.77-1.90
B (0.3610, 0.4180, 0.9620)  2 B 1.77-1.90
B (0.6390, 0.5820, 0.0380)  2 B 1.77-1.90
B (0.6390, 0.9180, 0.0380)  2 B 1.77-1.90
B (0.8610, 0.0820, 0.5380)  2 B 1.77-1.90
B (0.8610, 0.4180, 0.5380)  2 B 1.77-1.90
Os (0.1772, 0.2500, 0.6805)  6 B 2.24-2.26
Os (0.3228, 0.7500, 0.1805)  6 B 2.24-2.26
Os (0.6772, 0.2500, 0.8195)  6 B 2.24-2.26
Os (0.8228, 0.7500, 0.3195)  6 B 2.24-2.26

Calculated values
Magnetization   0.000 μB per formula unit
Calculated density   12.928 g cm⁻³
Raw total energy   -7.89 eV per atom

---

8.
# TmBOs

Crystalline TmBOs at its relaxed geometry (PBE-GGA, Alexandria).

abc: 3.6499 3.6499 4.2021
angles: 90.00 90.00 120.00
With the nearest neighbours (Å) after each atom.
Positions (direct):
Tm (0.0000, 0.0000, 0.0000)  6 Os 2.98, 6 B 2.98
B (0.3333, 0.6667, 0.5000)  3 Os 2.11
Os (0.6667, 0.3333, 0.5000)  3 B 2.11

Calculated values
Magnetization   0.000 μB per formula unit
Calculated density   12.673 g cm⁻³
Raw total energy   -7.87 eV per atom

---

9.
# Tm3B3Os2

Crystalline Tm3B3Os2 at its relaxed geometry (PBE-GGA, Alexandria).

abc: 5.6942 5.6942 12.8069
angles: 90.00 90.00 142.56
With the nearest neighbours (Å) after each atom.
Positions (direct):
Tm (0.0647, 0.9353, 0.6149)  6 B 2.82-2.96, 3 Os 2.93-3.09
Tm (0.0647, 0.9353, 0.8851)  6 B 2.82-2.96, 3 Os 2.93-3.09
Tm (0.3498, 0.6502, 0.7500)  4 B 2.56-2.67
Tm (0.6502, 0.3498, 0.2500)  4 B 2.56-2.67
Tm (0.9353, 0.0647, 0.1149)  6 B 2.82-2.96, 3 Os 2.93-3.09
Tm (0.9353, 0.0647, 0.3851)  6 B 2.82-2.96, 3 Os 2.93-3.09
B (0.3165, 0.6835, 0.2500)  2 Os 2.34, 2 Tm 2.56
B (0.3671, 0.6329, 0.5423)  3 Os 2.15-2.22
B (0.3671, 0.6329, 0.9577)  3 Os 2.15-2.22
B (0.6329, 0.3671, 0.0423)  3 Os 2.15-2.22
B (0.6329, 0.3671, 0.4577)  3 Os 2.15-2.22
B (0.6835, 0.3165, 0.7500)  2 Os 2.34, 2 Tm 2.56
Os (0.2261, 0.7739, 0.0841)  4 B 2.15-2.34
Os (0.2261, 0.7739, 0.4159)  4 B 2.15-2.34
Os (0.7739, 0.2261, 0.5841)  4 B 2.15-2.34
Os (0.7739, 0.2261, 0.9159)  4 B 2.15-2.34

Calculated values
Magnetization   0.000 μB per formula unit
Calculated density   12.101 g cm⁻³
Raw total energy   -7.35 eV per atom

---

10.
# Tm2B3Os2

Crystalline Tm2B3Os2 at its relaxed geometry (PBE-GGA, Alexandria).

abc: 5.6343 5.6343 5.9144
angles: 120.84 120.84 37.72
With the nearest neighbours (Å) after each atom.
Positions (direct):
Tm (0.1283, 0.1283, 0.2723)  6 B 2.77-3.00, 5 Os 2.88-3.08, 1 Tm 2.88
Tm (0.8717, 0.8717, 0.7277)  6 B 2.77-3.00, 5 Os 2.88-3.08, 1 Tm 2.88
B (0.3986, 0.3986, 0.1100)  1 B 1.95, 2 Os 2.11
B (0.5000, 0.5000, 0.5000)  2 B 1.95
B (0.6014, 0.6014, 0.8900)  1 B 1.95, 2 Os 2.11
Os (0.1579, 0.1579, 0.7874)  3 B 2.11-2.22
Os (0.8421, 0.8421, 0.2126)  3 B 2.11-2.22

Calculated values
Magnetization   0.000 μB per formula unit
Calculated density   12.910 g cm⁻³
Raw total energy   -7.56 eV per atom

---

11.
# TmB2Os

Crystalline TmB2Os at its relaxed geometry (PBE-GGA, Alexandria).

abc: 5.0610 5.0610 5.0610
angles: 42.26 42.26 42.26
With the nearest neighbours (Å) after each atom.
Positions (direct):
Tm (0.0000, 0.0000, 0.0000)  8 B 2.72-2.89
B (0.2092, 0.2092, 0.2092)  3 Os 2.19, 3 B 2.41
B (0.7908, 0.7908, 0.7908)  3 Os 2.19, 3 B 2.41
Os (0.5000, 0.5000, 0.5000)  6 B 2.19

Calculated values
Magnetization   0.000 μB per formula unit
Calculated density   11.915 g cm⁻³
Raw total energy   -7.56 eV per atom